#one
Compound: Mg6CrCO8
Source: Alexandria via LeMat-Bulk
Functional: PBE+U
Structure: optimized geometry

Computed properties:
Density of states at the Fermi level (states/eV/cell): 1.5

Unit cell a=4.174 b=4.174 c=8.952 alpha=90.00 beta=90.00 gamma=90.00
Each line ends with the local moment (μB).
Atoms (fractional coordinates):
1 Mg 0.500 0.000 0.260  0.00
2 Mg 0.000 0.500 0.260  0.00
3 Mg 0.500 0.500 0.000  0.00
4 Mg 0.500 0.500 0.500  0.00
5 Mg 0.500 0.000 0.740  0.00
6 Mg 0.000 0.500 0.740  0.00
7 O 0.500 0.000 0.000  -0.02
8 O 0.500 0.000 0.500  0.01
9 O 0.000 0.000 0.778  0.02
10 O 0.500 0.500 0.746  0.00
11 O 0.500 0.500 0.254  0.00
12 O 0.000 0.000 0.222  0.02
13 O 0.000 0.500 0.500  0.01
14 O 0.000 0.500 0.000  -0.02
15 C 0.000 0.000 0.500  0.37
16 Cr 0.000 0.000 0.000  3.20

#two
Compound: Mg6CrCO8
Source: Alexandria via LeMat-Bulk
Functional: PBE+U
Structure: optimized geometry

Computed properties:
Density of states at the Fermi level (states/eV/cell): 1.2

Unit cell a=4.272 b=4.272 c=8.463 alpha=90.00 beta=90.00 gamma=90.00
Each line ends with the local moment (μB).
Atoms (fractional coordinates):
1 O 0.500 0.000 0.000  -0.03
2 O 0.000 0.000 0.246  -0.01
3 O 0.500 0.500 0.254  0.00
4 O 0.000 0.500 0.000  -0.03
5 O 0.500 0.500 0.746  0.00
6 O 0.500 0.000 0.500  0.00
7 O 0.000 0.000 0.754  -0.01
8 O 0.000 0.500 0.500  0.00
9 Mg 0.500 0.500 0.500  0.00
10 Mg 0.500 0.000 0.755  0.00
11 Mg 0.000 0.000 0.500  0.00
12 Mg 0.500 0.000 0.245  0.00
13 Mg 0.000 0.500 0.245  0.00
14 Mg 0.000 0.500 0.755  0.00
15 C 0.500 0.500 0.000  0.24
16 Cr 0.000 0.000 0.000  3.53

Ordering by calculated energy gives the sequence #one, #two, with the first entry being the most stable.